(1)
A relaxed structure of CeTh2Se6. Source: the Alexandria database, functional GGA-PBE.

Formation energy without anion corrections   -15.0 eV/f.u.
ΔE to the lowest computed polymorph   0 kJ/mol of formula units
Total moment   0.1 μB/f.u.
Total DFT energy (no corrections)   -6.295 eV/atom
Mass density   7.59 Mg/m³

a b c (Å): 4.612 7.683 7.683
angles (deg): 120.00 90.00 90.00
Site moments in Bohr magnetons follow the coordinates.
Element x y z (fractional)
Ce (0.500, 0.000, 0.000)  0.18
Th (0.253, 0.667, 0.333)  0.00
Th (0.747, 0.333, 0.667)  0.00
Se (0.249, 0.619, 0.702)  -0.01
Se (0.249, 0.083, 0.381)  -0.01
Se (0.249, 0.298, 0.917)  -0.01
Se (0.751, 0.381, 0.298)  -0.01
Se (0.751, 0.917, 0.619)  -0.01
Se (0.751, 0.702, 0.083)  -0.01

(2)
A relaxed structure of PuUMn3. Source: the Alexandria database, functional GGA-PBE.

Total moment   5.0 μB/f.u.
ΔH_f (0 K)   34.6 kJ/mol of atoms
Total DFT energy (no corrections)   -10.268 eV/atom
Mass density   11.60 Mg/m³

a b c (Å): 4.345 7.902 7.902
angles (deg): 136.95 90.00 90.00
Site moments in Bohr magnetons follow the coordinates.
Element x y z (fractional)
Pu (0.750, 0.590, 0.410)  5.26
Pu (0.250, 0.410, 0.590)  5.26
U (0.750, 0.852, 0.148)  0.21
U (0.250, 0.148, 0.852)  0.21
Mn (0.750, 0.455, 0.916)  -0.12
Mn (0.750, 0.084, 0.545)  -0.12
Mn (0.250, 0.916, 0.455)  -0.12
Mn (0.250, 0.545, 0.084)  -0.12
Mn (0.000, 0.000, 0.000)  -0.54
Mn (0.500, 0.000, 0.000)  -0.54

(3)
A relaxed structure of LaCuSe3. Source: the Alexandria database, functional GGA-PBE.

Formation energy without anion corrections   -4.1 eV/f.u.
ΔE to the lowest computed polymorph   0 kJ/mol of formula units
Total moment   0.0 μB/f.u.
Total DFT energy (no corrections)   -4.722 eV/atom
Mass density   6.48 Mg/m³

a b c (Å): 4.829 4.829 4.829
angles (deg): 90.00 90.00 90.00
Element x y z (fractional)
Cu (0.000, 0.000, 0.000)
Se (0.000, 0.500, 0.000)
Se (0.000, 0.000, 0.500)
Se (0.500, 0.000, 0.000)
La (0.500, 0.500, 0.500)

total moment of number 3 (LaCuSe3)? 0.0 μB/f.u.